Entry 1:
Computed, not measured: a relaxed Cd2InCuI crystal at the PBE level of DFT.

Lattice parameters (Å, degrees): 5.2061 5.2061 5.3128 90.00 90.00 90.00
Fractional positions:
I  0.5000  0.5000  0.5000
Cd  0.0000  0.5000  0.0000
Cd  0.5000  0.0000  0.0000
Cu  0.0000  0.0000  0.0000
In  0.0000  0.0000  0.5000

SG ... P4/mmm, No. 123
Uncorrected energy ... -10.2 eV/cell

Entry 2:
Computed, not measured: a relaxed CdInCu2I crystal at the PBE level of DFT.

Lattice parameters (Å, degrees): 5.0136 5.6894 5.0136 90.00 90.00 90.00
Fractional positions:
I  0.5000  0.5000  0.5000
Cd  0.0000  0.5000  0.0000
Cu  0.0000  0.0000  0.5000
Cu  0.5000  0.0000  0.0000
In  0.0000  0.0000  0.0000

SG ... P4/mmm, No. 123
Uncorrected energy ... -10.6 eV/cell

Entry 3:
Computed, not measured: a relaxed CdIn2CuI crystal at the PBE level of DFT.

Lattice parameters (Å, degrees): 5.2399 5.2399 5.2002 90.00 90.00 90.00
Fractional positions:
I  0.5000  0.5000  0.5000
Cd  0.0000  0.0000  0.5000
Cu  0.0000  0.0000  0.0000
In  0.0000  0.5000  0.0000
In  0.5000  0.0000  0.0000

SG ... P4/mmm, No. 123
Uncorrected energy ... -12.3 eV/cell

Entry 4:
Computed, not measured: a relaxed K2CdCuI6 crystal at the PBE level of DFT.

Lattice parameters (Å, degrees): 9.4734 9.4343 9.5099 48.16 48.32 47.95
Fractional positions:
K  0.6010  0.5281  0.3333
K  0.0249  0.1006  0.7657
Cd  0.8302  0.8790  0.5657
Cu  0.2974  0.3314  0.0314
I  0.6013  0.1344  0.3382
I  0.1381  0.0384  0.3538
I  0.0173  0.5791  0.2232
I  0.4962  0.5725  0.7471
I  0.6131  0.0301  0.8816
I  0.0422  0.4680  0.7753

SG ... P1, No. 1
Uncorrected energy ... -23.9 eV/cell

Entry 5:
Computed, not measured: a relaxed KCdCu2I6 crystal at the PBE level of DFT.

Lattice parameters (Å, degrees): 8.6566 10.6219 10.6219 85.03 70.61 70.61
Fractional positions:
K  0.2500  0.8472  0.1528
K  0.7500  0.1528  0.8472
Cd  0.2500  0.1841  0.8159
Cd  0.7500  0.8159  0.1841
Cu  0.3377  0.7513  0.6333
Cu  0.1623  0.3667  0.2487
Cu  0.6623  0.2487  0.3667
Cu  0.8377  0.6333  0.7513
I  0.1740  0.9341  0.8228
I  0.3260  0.1772  0.0659
I  0.8260  0.0659  0.1772
I  0.6740  0.8228  0.9341
I  0.4355  0.8686  0.3919
I  0.0645  0.6081  0.1314
I  0.5645  0.1314  0.6081
I  0.9355  0.3919  0.8686
I  0.1056  0.6770  0.5850
I  0.3944  0.4150  0.3230
I  0.8944  0.3230  0.4150
I  0.6056  0.5850  0.6770

SG ... C2/c, No. 15
Uncorrected energy ... -48.8 eV/cell

Entry 6:
Computed, not measured: a relaxed K2CdCu2I6 crystal at the PBE level of DFT.

Lattice parameters (Å, degrees): 8.2515 8.3594 8.3038 117.25 90.00 119.57
Fractional positions:
K  0.7415  0.4831  0.2158
K  0.2585  0.5169  0.7842
Cd  0.5000  0.0000  0.5000
Cu  0.9538  0.9077  0.8022
Cu  0.0462  0.0923  0.1978
I  0.7483  0.4967  0.6431
I  0.1958  0.8851  0.1934
I  0.3106  0.1149  0.8066
I  0.8042  0.1149  0.8066
I  0.6894  0.8851  0.1934
I  0.2517  0.5033  0.3569

SG ... C2/m, No. 12
Uncorrected energy ... -28.1 eV/cell

Entry 7:
Computed, not measured: a relaxed CdCuI2N crystal at the PBE level of DFT.

Lattice parameters (Å, degrees): 6.0114 6.0114 4.2663 90.00 90.00 90.00
Last column: magnetic moment on the atom in μB.
Fractional positions:
I  0.0000  0.5000  0.0000  0.06
I  0.5000  0.0000  0.0000  0.06
N  0.0000  0.0000  0.5000  1.23
Cu  0.5000  0.5000  0.5000  0.01
Cd  0.0000  0.0000  0.0000  0.02

SG ... P4/mmm, No. 123
Uncorrected energy ... -11.6 eV/cell

Entry 8:
Computed, not measured: a relaxed CdCuI2N crystal at the PBE level of DFT.

Lattice parameters (Å, degrees): 5.6916 5.6916 3.7620 90.00 90.00 90.00
Last column: magnetic moment on the atom in μB.
Fractional positions:
I  0.0000  0.5000  0.0000  0.08
I  0.5000  0.0000  0.0000  0.08
N  0.0000  0.0000  0.5000  1.04
Cu  0.0000  0.0000  0.0000  0.25
Cd  0.5000  0.5000  0.5000  0.00

SG ... P4/mmm, No. 123
Uncorrected energy ... -13.4 eV/cell

Entry 9:
Computed, not measured: a relaxed Cd2CuIN crystal at the PBE level of DFT.

Lattice parameters (Å, degrees): 5.5060 3.5905 5.5060 90.00 90.00 90.00
Last column: magnetic moment on the atom in μB.
Fractional positions:
I  0.5000  0.5000  0.5000  -0.02
N  0.0000  0.5000  0.0000  0.36
Cu  0.0000  0.0000  0.0000  0.14
Cd  0.0000  0.0000  0.5000  0.00
Cd  0.5000  0.0000  0.0000  0.02

SG ... P4/mmm, No. 123
Uncorrected energy ... -13.4 eV/cell

Entry 10:
Computed, not measured: a relaxed NaCdCu2I6 crystal at the PBE level of DFT.

Lattice parameters (Å, degrees): 7.4877 9.8000 9.8000 88.08 82.22 82.22
Fractional positions:
Na  0.2500  0.9117  0.0883
Na  0.7500  0.0883  0.9117
Cd  0.2500  0.2711  0.7289
Cd  0.7500  0.7289  0.2711
Cu  0.2086  0.7675  0.6016
Cu  0.2914  0.3984  0.2325
Cu  0.7914  0.2325  0.3984
Cu  0.7086  0.6016  0.7675
I  0.1463  0.9707  0.7793
I  0.3537  0.2207  0.0293
I  0.8537  0.0293  0.2207
I  0.6463  0.7793  0.9707
I  0.3913  0.8617  0.3834
I  0.1087  0.6166  0.1383
I  0.6087  0.1383  0.6166
I  0.8913  0.3834  0.8617
I  0.8890  0.7136  0.5581
I  0.6110  0.4419  0.2864
I  0.1110  0.2864  0.4419
I  0.3890  0.5581  0.7136

SG ... C2/c, No. 15
Uncorrected energy ... -48.4 eV/cell

Entry 11:
Computed, not measured: a relaxed CdCuI2O crystal at the PBE level of DFT.

Lattice parameters (Å, degrees): 5.6805 5.6805 3.7074 90.00 90.00 90.00
Last column: magnetic moment on the atom in μB.
Fractional positions:
I  0.0000  0.5000  0.0000  0.05
I  0.5000  0.0000  0.0000  0.05
O  0.0000  0.0000  0.5000  0.44
Cu  0.0000  0.0000  0.0000  0.30
Cd  0.5000  0.5000  0.5000  -0.01

SG ... P4/mmm, No. 123
Uncorrected energy ... -13.2 eV/cell

Entry 12:
Computed, not measured: a relaxed Cd2CuIO6 crystal at the PBE level of DFT.

Lattice parameters (Å, degrees): 5.2795 5.4643 8.9127 90.00 89.87 90.00
Last column: magnetic moment on the atom in μB.
Fractional positions:
Cd  0.0316  0.9574  0.2527  0.00
Cd  0.5316  0.5426  0.7527  0.00
Cd  0.9684  0.0426  0.7473  0.00
Cd  0.4684  0.4574  0.2473  0.00
Cu  0.5000  0.0000  0.0000  0.22
Cu  0.0000  0.5000  0.5000  0.22
I  0.5000  0.0000  0.5000  -0.01
I  0.0000  0.5000  0.0000  -0.01
O  0.2830  0.7186  0.0570  0.01
O  0.7830  0.7814  0.5570  0.01
O  0.7170  0.2814  0.9430  0.01
O  0.2170  0.2186  0.4430  0.01
O  0.2900  0.7227  0.4181  0.02
O  0.7900  0.7773  0.9181  0.02
O  0.7100  0.2773  0.5819  0.02
O  0.2100  0.2227  0.0819  0.02
O  0.8688  0.5613  0.2021  -0.01
O  0.3688  0.9387  0.7021  -0.01
O  0.1312  0.4387  0.7979  -0.01
O  0.6312  0.0613  0.2979  -0.01

SG ... P2_1/c, No. 14
Uncorrected energy ... -87.3 eV/cell

Entry 13:
Computed, not measured: a relaxed CdCu2IO6 crystal at the PBE level of DFT.

Lattice parameters (Å, degrees): 5.6252 6.7915 6.7915 89.31 85.73 85.73
Last column: magnetic moment on the atom in μB.
Fractional positions:
Cd  0.2500  0.9132  0.0868  0.00
Cd  0.7500  0.0868  0.9132  0.00
Cu  0.1975  0.7718  0.5828  0.38
Cu  0.3025  0.4172  0.2282  0.38
Cu  0.8025  0.2282  0.4172  0.38
Cu  0.6975  0.5828  0.7718  0.38
I  0.2500  0.2746  0.7254  -0.01
I  0.7500  0.7254  0.2746  -0.01
O  0.1357  0.9999  0.7658  0.04
O  0.3643  0.2342  0.0001  0.04
O  0.8643  0.0001  0.2342  0.04
O  0.6357  0.7658  0.9999  0.04
O  0.4374  0.8385  0.3700  0.03
O  0.0626  0.6300  0.1615  0.03
O  0.5626  0.1615  0.6300  0.03
O  0.9374  0.3700  0.8385  0.03
O  0.8631  0.7119  0.5415  0.07
O  0.6369  0.4585  0.2881  0.07
O  0.1369  0.2881  0.4585  0.07
O  0.3631  0.5415  0.7119  0.07

SG ... C2/c, No. 15
Uncorrected energy ... -90.5 eV/cell

Entry 14:
Computed, not measured: a relaxed CdCuI2O crystal at the PBE level of DFT.

Lattice parameters (Å, degrees): 5.9270 5.9270 4.0472 90.00 90.00 90.00
Fractional positions:
I  0.0000  0.5000  0.0000
I  0.5000  0.0000  0.0000
O  0.0000  0.0000  0.5000
Cu  0.5000  0.5000  0.5000
Cd  0.0000  0.0000  0.0000

SG ... P4/mmm, No. 123
Uncorrected energy ... -11.5 eV/cell

Entry 15:
Computed, not measured: a relaxed Rb2CdCuI6 crystal at the PBE level of DFT.

Lattice parameters (Å, degrees): 7.8348 9.6567 7.7645 66.46 60.37 67.25
Fractional positions:
Rb  0.5285  0.5509  0.3279
Rb  0.0963  0.0986  0.7701
Cd  0.8885  0.7124  0.5675
Cu  0.3327  0.3424  0.0307
I  0.5655  0.1871  0.2290
I  0.1158  0.9296  0.3445
I  0.0445  0.4712  0.3477
I  0.4839  0.7072  0.7713
I  0.5634  0.1884  0.7530
I  0.0427  0.4739  0.8736

SG ... P1, No. 1
Uncorrected energy ... -23.8 eV/cell

Entry 16:
Computed, not measured: a relaxed Rb2CdCuI6 crystal at the PBE level of DFT.

Lattice parameters (Å, degrees): 8.3722 8.3722 8.2988 59.71 59.71 90.00
Fractional positions:
I  0.2798  0.2798  0.4403
I  0.7202  0.7202  0.5597
I  0.2458  0.2458  0.0000
I  0.7542  0.7542  0.0000
I  0.7542  0.2458  0.0000
I  0.2458  0.7542  0.0000
Cu  0.5000  0.5000  0.0000
Rb  0.7500  0.2500  0.5000
Rb  0.2500  0.7500  0.5000
Cd  0.0000  0.0000  0.0000

SG ... I4/mmm, No. 139
Uncorrected energy ... -23.5 eV/cell

Entry 17:
Computed, not measured: a relaxed CdCuSb2I crystal at the PBE level of DFT.

Lattice parameters (Å, degrees): 5.5421 5.5421 5.9319 90.00 90.00 90.00
Last column: magnetic moment on the atom in μB.
Fractional positions:
I  0.0000  0.0000  0.5000  0.10
Sb  0.0000  0.5000  0.0000  0.20
Sb  0.5000  0.0000  0.0000  0.20
Cu  0.5000  0.5000  0.5000  0.02
Cd  0.0000  0.0000  0.0000  0.01

SG ... P4/mmm, No. 123
Uncorrected energy ... -9.9 eV/cell

Entry 18:
Computed, not measured: a relaxed CdCuSb2I crystal at the PBE level of DFT.

Lattice parameters (Å, degrees): 5.1559 5.1559 5.4883 90.00 90.00 90.00
Last column: magnetic moment on the atom in μB.
Fractional positions:
I  0.0000  0.0000  0.5000  0.05
Sb  0.0000  0.5000  0.0000  0.10
Sb  0.5000  0.0000  0.0000  0.10
Cu  0.0000  0.0000  0.0000  0.02
Cd  0.5000  0.5000  0.5000  0.00

SG ... P4/mmm, No. 123
Uncorrected energy ... -12.6 eV/cell

Entry 19:
Computed, not measured: a relaxed Sc2CdCuI crystal at the PBE level of DFT.

Lattice parameters (Å, degrees): 5.0185 5.4560 5.0185 90.00 90.00 90.00
Fractional positions:
I  0.0000  0.5000  0.0000
Sc  0.0000  0.0000  0.5000
Sc  0.5000  0.0000  0.0000
Cu  0.0000  0.0000  0.0000
Cd  0.5000  0.5000  0.5000

SG ... P4/mmm, No. 123
Uncorrected energy ... -17.7 eV/cell

Entry 20:
Computed, not measured: a relaxed Sc2CdCuI crystal at the PBE level of DFT.

Lattice parameters (Å, degrees): 5.3173 4.8101 5.3173 90.00 90.00 90.00
Fractional positions:
I  0.0000  0.0000  0.0000
Sc  0.0000  0.0000  0.5000
Sc  0.5000  0.0000  0.0000
Cu  0.0000  0.5000  0.0000
Cd  0.5000  0.5000  0.5000

SG ... P4/mmm, No. 123
Uncorrected energy ... -16.8 eV/cell

Entry 21:
Computed, not measured: a relaxed CdCuSn2I crystal at the PBE level of DFT.

Lattice parameters (Å, degrees): 5.9420 5.7119 5.9420 90.00 90.00 90.00
Fractional positions:
I  0.0000  0.0000  0.0000
Sn  0.0000  0.0000  0.5000
Sn  0.5000  0.0000  0.0000
Cu  0.5000  0.5000  0.5000
Cd  0.0000  0.5000  0.0000

SG ... P4/mmm, No. 123
Uncorrected energy ... -9.0 eV/cell

Entry 22:
Computed, not measured: a relaxed CdCu2TcI crystal at the PBE level of DFT.

Lattice parameters (Å, degrees): 4.7764 6.3989 4.7764 90.00 90.00 90.00
Last column: magnetic moment on the atom in μB.
Fractional positions:
I  0.0000  0.5000  0.0000  0.05
Tc  0.5000  0.5000  0.5000  3.69
Cu  0.0000  0.0000  0.5000  0.02
Cu  0.5000  0.0000  0.0000  0.02
Cd  0.0000  0.0000  0.0000  -0.01

SG ... P4/mmm, No. 123
Uncorrected energy ... -13.6 eV/cell

Entry 23:
Computed, not measured: a relaxed CdCuTeI2 crystal at the PBE level of DFT.

Lattice parameters (Å, degrees): 5.3307 5.3307 5.4670 90.00 90.00 90.00
Fractional positions:
I  0.0000  0.5000  0.0000
I  0.5000  0.0000  0.0000
Te  0.0000  0.0000  0.5000
Cu  0.0000  0.0000  0.0000
Cd  0.5000  0.5000  0.5000

SG ... P4/mmm, No. 123
Uncorrected energy ... -10.1 eV/cell

Entry 24:
Computed, not measured: a relaxed Tl2CdCuI crystal at the PBE level of DFT.

Lattice parameters (Å, degrees): 5.4935 5.4935 5.1598 90.00 90.00 90.00
Fractional positions:
I  0.5000  0.5000  0.5000
Tl  0.0000  0.5000  0.0000
Tl  0.5000  0.0000  0.0000
Cu  0.0000  0.0000  0.0000
Cd  0.0000  0.0000  0.5000

SG ... P4/mmm, No. 123
Uncorrected energy ... -11.7 eV/cell

Calculated theoretical density (g/cm3), listed in the same order as above: 6.11, 5.59, 6.19, 3.90, 3.98, 4.23, 4.78, 6.05, 6.55, 4.82, 6.19, 6.60, 5.95, 5.21, 4.05, 4.51, 4.98, 6.22, 4.75, 4.80, 4.45, 5.28, 5.96, 7.59